# 1
# Si2Hg

Crystalline Si2Hg at its relaxed geometry (PBE-GGA, Alexandria).

It has space group Cmcm (No. 63), with a = 3.022 Å, b = 21.890 Å, c = 3.620 Å, α = 90.00°, β = 90.00° and γ = 90.00°. The asymmetric unit holds Si at (0.000, 0.036, 0.250), Si at (0.000, 0.230, 0.750) and Hg at (0.000, 0.379, 0.250).

Its total energy is -38.450 eV per cell. For the density, the calculation gives 7.12 Mg/m³. The calculation puts the uncorrected formation energy at 512 meV per atom.

# 2
# SiHg2

Crystalline SiHg2 at its relaxed geometry (PBE-GGA, Alexandria).

It has space group Cmmm (No. 65), with a = 3.736 Å, b = 16.779 Å, c = 4.527 Å, α = 90.00°, β = 90.00° and γ = 90.00°. The asymmetric unit holds Si at (0.000, 0.204, 0.000), Hg at (0.000, 0.000, 0.500), Hg at (0.000, 0.339, 0.500) and Hg at (0.000, 0.500, 0.000).

Its total energy is -19.984 eV per cell. For the density, the calculation gives 10.05 Mg/m³. The calculation puts the uncorrected formation energy at 344 meV per atom.

# 3
# Si2Hg

Crystalline Si2Hg at its relaxed geometry (PBE-GGA, Alexandria).

It has space group R-3m (No. 166, hexagonal axes), with a = 3.7620 Å, b = 3.7620 Å, c = 15.7149 Å, α = 90.00°, β = 90.00° and γ = 120.00°. The asymmetric unit holds Si at (0.0000, 0.0000, 0.1954) and Hg at (0.0000, 0.0000, 0.0000).

Its total energy is -30.394 eV per cell. For the density, the calculation gives 6.64 Mg/m³. The calculation puts the uncorrected formation energy at 339 meV per atom.